Below is a relaxed structure of KRb3Mn2Br9, with properties calculated at the GGA-PBE level.

Values from the calculation:
- Final energy: -3.751 eV/atom
- Size of the total moment: 9.00 μB per formula unit

The structure in extended XYZ format:
```
15
Lattice="-3.798 6.540 0.838 -0.663 -5.483 5.235 8.267 4.114 5.356" Properties=species:S:1:pos:R:3 pbc="T T T"
Br 1.137 -2.262 5.996
Br 2.669 7.434 5.433
Br -2.231 0.529 3.036
Br 2.346 4.766 7.980
Br 1.460 0.406 3.449
Br 4.517 4.252 5.025
Br -0.332 -2.741 2.617
Br -0.711 0.920 6.404
Br -1.899 3.270 0.419
Mn -0.413 -0.831 4.608
Mn 4.219 6.003 6.821
K 4.133 2.057 2.678
Rb 4.370 1.550 7.707
Rb 0.000 0.000 0.000
Rb -0.564 3.622 3.722
```

=====

Below is a relaxed structure of K3Rb3MnBr8, with properties calculated at the GGA-PBE level.

Values from the calculation:
- Final energy: -3.466 eV/atom
- Size of the total moment: 5.00 μB per formula unit

The structure in extended XYZ format:
```
15
Lattice="9.437 0.000 0.000 -4.719 8.172 -0.028 0.000 -5.420 7.936" Properties=species:S:1:pos:R:3 pbc="T T T"
Br -2.753 4.333 5.520
Br 4.718 0.021 5.834
Br 1.965 -1.581 2.388
Br 7.471 -1.581 2.388
Br 0.000 2.731 2.073
Br 0.000 -0.433 5.538
Br 4.718 3.186 2.370
Br 2.753 4.333 5.520
K 2.359 1.376 3.954
K -2.359 1.376 3.954
K 4.718 -2.710 3.968
Rb 0.000 0.000 0.000
Rb -2.359 4.086 -0.014
Rb 2.359 4.086 -0.014
Mn 0.000 -2.710 3.968
```

=====

Below is a relaxed structure of KRb2MnBr6, with properties calculated at the GGA-PBE level.

Values from the calculation:
- Offset from the most stable computed form: 26 meV per atom
- Size of the total moment: 4.00 μB per formula unit

The structure in extended XYZ format:
```
10
Lattice="-6.844 -1.973 3.736 -1.616 -5.348 -5.785 -1.471 -7.671 1.911" Properties=species:S:1:pos:R:3 pbc="T T T"
Br -2.711 -5.868 0.591
Br -1.902 -1.646 -0.461
Br -7.219 -9.124 -0.730
Br -2.792 -4.589 -3.645
Br -6.558 -5.675 -1.589
Br -5.668 -2.732 1.595
Rb -3.659 -8.340 -2.449
Rb -6.272 -6.652 2.311
K -4.230 -3.661 -1.025
Mn 0.000 0.000 0.000
```

=====

| no. | volume (A^3/atom) |
| --- | --- |
| 1 | 35.7 |
| 2 | 40.7 |
| 3 | 36.8 |